LiHgSe2Br PBE relaxed; excess energy over the best structure of this formula in the dataset = 0 meV/atom; Fermi-level density of states = 1.535 states/eV/atom; E_form (uncorrected) = 0.25 eV/f.u.; symmetry = P4/mmm; total energy = -2.122 eV/atom
1.0
5.2169 0.0000 0.0000
0.0000 5.2169 0.0000
0.0000 0.0000 6.0316
Li Hg Se Br
1 1 2 1
direct
0.0000 0.0000 0.0000 Li
0.5000 0.5000 0.5000 Hg
0.0000 0.5000 0.5000 Se
0.5000 0.0000 0.5000 Se
0.5000 0.5000 0.0000 Br

LiTaHg2Br PBE relaxed; Fermi-level density of states = 1.058 states/eV/atom; E_form (uncorrected) = 1.81 eV/f.u.; symmetry = P4/mmm; total energy = -2.846 eV/atom
1.0
5.5451 0.0000 0.0000
0.0000 5.5451 0.0000
0.0000 0.0000 4.9871
Li Ta Hg Br
1 1 2 1
direct
0.0000 0.0000 0.0000 Li
0.5000 0.5000 0.5000 Ta
0.0000 0.5000 0.5000 Hg
0.5000 0.0000 0.5000 Hg
0.5000 0.5000 0.0000 Br

Li3Tl3HgBr8 PBE relaxed; Fermi-level density of states = 0.000 states/eV/atom; E_form (uncorrected) = -15.13 eV/f.u.; symmetry = C2/m; total energy = -2.777 eV/atom
1.0
7.1736 -4.1354 0.0000
7.1736 4.1354 0.0000
-4.7789 0.0000 7.6630
Li Tl Hg Br
3 3 1 8
direct
0.0000 0.0000 0.0000 Li
0.0000 0.5000 0.0000 Li
0.5000 0.0000 0.0000 Li
0.0000 0.5000 0.5000 Tl
0.5000 0.0000 0.5000 Tl
0.5000 0.5000 0.5000 Tl
0.5000 0.5000 0.0000 Hg
0.2267 0.7369 0.1997 Br
0.2327 0.2327 0.1973 Br
0.2631 0.7733 0.8003 Br
0.2635 0.2635 0.8006 Br
0.7365 0.7365 0.1994 Br
0.7369 0.2267 0.1997 Br
0.7673 0.7673 0.8027 Br
0.7733 0.2631 0.8003 Br

LiTlHg2Br6 PBE relaxed; Fermi-level density of states = 0.000 states/eV/atom; E_form (uncorrected) = -7.24 eV/f.u.; symmetry = C2/c; total energy = -2.216 eV/atom
1.0
7.2507 -7.0035 0.0000
7.2507 7.0035 0.0000
-2.9816 0.0000 7.5676
Li Tl Hg Br
2 2 4 12
direct
0.1971 0.8029 0.7500 Li
0.8029 0.1971 0.2500 Li
0.1228 0.8772 0.2500 Tl
0.8772 0.1228 0.7500 Tl
0.2369 0.3906 0.3373 Hg
0.3906 0.2369 0.8373 Hg
0.6094 0.7631 0.1627 Hg
0.7631 0.6094 0.6627 Hg
0.0409 0.1872 0.1745 Br
0.1277 0.6275 0.4485 Br
0.1872 0.0409 0.6745 Br
0.2943 0.4446 0.0392 Br
0.3725 0.8723 0.0515 Br
0.4446 0.2943 0.5392 Br
0.5554 0.7057 0.4608 Br
0.6275 0.1277 0.9485 Br
0.7057 0.5554 0.9608 Br
0.8128 0.9591 0.3255 Br
0.8723 0.3725 0.5515 Br
0.9591 0.8128 0.8255 Br

LiTlHgBr2 PBE relaxed; E_form (uncorrected) = -3.97 eV/f.u.; symmetry = P4/mmm; total energy = -2.380 eV/atom
1.0
5.2970 0.0000 0.0000
0.0000 5.2970 0.0000
0.0000 0.0000 5.3024
Li Tl Hg Br
1 1 1 2
direct
0.0000 0.0000 0.0000 Li
0.5000 0.5000 0.5000 Tl
0.0000 0.0000 0.5000 Hg
0.0000 0.5000 0.0000 Br
0.5000 0.0000 0.0000 Br

Li2TlHgBr6 PBE relaxed; Fermi-level density of states = 0.595 states/eV/atom; E_form (uncorrected) = -8.54 eV/f.u.; symmetry = R3; total energy = -2.507 eV/atom
1.0
3.5644 2.0579 6.5305
-3.5644 2.0579 6.5305
0.0000 -4.1158 6.5305
Li Tl Hg Br
2 1 1 6
direct
0.0000 0.0000 0.0000 Li
0.5000 0.5000 0.5000 Li
0.3027 0.3027 0.3027 Tl
0.8031 0.8031 0.8031 Hg
0.1043 0.7382 0.3941 Br
0.2270 0.6246 0.8718 Br
0.3941 0.1043 0.7382 Br
0.6246 0.8718 0.2270 Br
0.7382 0.3941 0.1043 Br
0.8718 0.2270 0.6246 Br

LuHgBr3 PBE relaxed; Fermi-level density of states = 0.000 states/eV/atom; E_form (uncorrected) = -6.62 eV/f.u.; symmetry = Pm-3m; total energy = -3.292 eV/atom
1.0
5.5149 0.0000 0.0000
0.0000 5.5149 0.0000
0.0000 0.0000 5.5149
Lu Hg Br
1 1 3
direct
0.0000 0.0000 0.0000 Lu
0.5000 0.5000 0.5000 Hg
0.0000 0.0000 0.5000 Br
0.0000 0.5000 0.0000 Br
0.5000 0.0000 0.0000 Br

MgHgBr2 PBE relaxed; excess energy over the best structure of this formula in the dataset = 108 meV/atom; Fermi-level density of states = 0.000 states/eV/atom; E_form (uncorrected) = -3.94 eV/f.u.; symmetry = I-42d; total energy = -2.296 eV/atom
1.0
-3.9722 3.9722 5.0195
3.9722 -3.9722 5.0195
3.9722 3.9722 -5.0195
Mg Hg Br
2 2 4
direct
0.0000 0.0000 0.0000 Mg
0.7500 0.2500 0.5000 Mg
0.2500 0.7500 0.5000 Hg
0.5000 0.5000 0.0000 Hg
0.3750 0.2450 0.3700 Br
0.7550 0.1250 0.1300 Br
0.8750 0.0050 0.6300 Br
0.9950 0.6250 0.8700 Br